Entry from the Alexandria database: a relaxed LiAgOs2 crystal (GGA-PBEsol).

Output
total magnetization	0.00	μB/f.u.
formation energy from the elements	25.6	kJ per mole of atoms
energy above the most stable polymorph in this dataset	0.0	meV/atom
DFT total energy	-7.16	eV per atom

Unit cell a=2.701 b=3.864 c=5.558 alpha=90.00 beta=90.00 gamma=90.00
Space group Pmm2 (No. 25)
Symmetry-distinct sites (fractional):
Li: 0.000 0.000 0.000 x1
Ag: 0.500 0.500 0.794 x1
Os: 0.000 0.000 0.472 x1
Os: 0.500 0.500 0.294 x1

---

Entry from the Alexandria database: a relaxed LiAg3Os crystal (GGA-PBEsol).

Output
total magnetization	2.04	μB/f.u.
formation energy from the elements	126.6	kJ per mole of atoms
DFT total energy	-3.51	eV per atom

Unit cell a=5.021 b=5.021 c=5.021 alpha=90.00 beta=90.00 gamma=90.00
Space group Pm-3m (No. 221)
Symmetry-distinct sites (fractional):
Li: 0.000 0.000 0.000 x1
Ag: 0.000 0.500 0.500 x3
Os: 0.500 0.500 0.500 x1

---

Entry from the Alexandria database: a relaxed LiAgOs2 crystal (GGA-PBEsol).

Output
total magnetization	0.00	μB/f.u.
formation energy from the elements	82.2	kJ per mole of atoms
energy above the most stable polymorph in this dataset	586.0	meV/atom
DFT total energy	-6.58	eV per atom

Unit cell a=2.916 b=2.916 c=6.319 alpha=90.00 beta=90.00 gamma=90.00
Space group P4/mmm (No. 123)
Symmetry-distinct sites (fractional):
Li: 0.000 0.000 0.000 x1
Ag: 0.000 0.000 0.500 x1
Os: 0.500 0.500 0.195 x2

---

Entry from the Alexandria database: a relaxed LiAgTeOs2 crystal (GGA-PBEsol).

Output
total magnetization	1.25	μB/f.u.
DFT total energy	-4.88	eV per atom

Unit cell a=4.837 b=4.837 c=4.057 alpha=90.00 beta=90.00 gamma=90.00
Space group P4/mmm (No. 123)
Symmetry-distinct sites (fractional):
Li: 0.000 0.000 0.000 x1
Ag: 0.000 0.000 0.500 x1
Te: 0.500 0.500 0.000 x1
Os: 0.000 0.500 0.500 x2

---

Entry from the Alexandria database: a relaxed Li2TiAgOs crystal (GGA-PBEsol).

Output
total magnetization	0.00	μB/f.u.
formation energy from the elements	77.3	kJ per mole of atoms
DFT total energy	-4.76	eV per atom

Unit cell a=4.673 b=4.673 c=4.499 alpha=90.00 beta=90.00 gamma=90.00
Space group P4/mmm (No. 123)
Symmetry-distinct sites (fractional):
Li: 0.000 0.500 0.000 x2
Ti: 0.000 0.000 0.500 x1
Ag: 0.500 0.500 0.500 x1
Os: 0.000 0.000 0.000 x1

---

Entry from the Alexandria database: a relaxed LiAg4P crystal (GGA-PBEsol).

Output
total magnetization	0.00	μB/f.u.
formation energy from the elements	16.8	kJ per mole of atoms
DFT total energy	-3.33	eV per atom

Unit cell a=7.564 b=7.564 c=7.564 alpha=90.00 beta=90.00 gamma=90.00
Space group F-43m (No. 216)
Symmetry-distinct sites (fractional):
Li: 0.000 0.000 0.000 x4
Ag: 0.125 0.125 0.375 x16
P: 0.250 0.250 0.750 x4

---

Entry from the Alexandria database: a relaxed LiAg2P crystal (GGA-PBEsol).

Output
total magnetization	0.00	μB/f.u.
formation energy from the elements	-13.3	kJ per mole of atoms
energy above the most stable polymorph in this dataset	8.3	meV/atom
DFT total energy	-3.73	eV per atom

Unit cell a=3.982 b=3.982 c=3.756 alpha=90.00 beta=90.00 gamma=90.00
Space group P4/mmm (No. 123)
Symmetry-distinct sites (fractional):
Li: 0.000 0.000 0.000 x1
Ag: 0.000 0.500 0.500 x2
P: 0.500 0.500 0.000 x1

---

Entry from the Alexandria database: a relaxed LiAgP3 crystal (GGA-PBEsol).

Output
total magnetization	0.00	μB/f.u.
formation energy from the elements	87.7	kJ per mole of atoms
DFT total energy	-3.62	eV per atom

Unit cell a=4.804 b=4.804 c=4.804 alpha=90.00 beta=90.00 gamma=90.00
Space group Pm-3m (No. 221)
Symmetry-distinct sites (fractional):
Li: 0.000 0.000 0.000 x1
Ag: 0.500 0.500 0.500 x1
P: 0.000 0.500 0.500 x3

---

Entry from the Alexandria database: a relaxed LiAg2P crystal (GGA-PBEsol).

Output
total magnetization	0.00	μB/f.u.
formation energy from the elements	-4.7	kJ per mole of atoms
energy above the most stable polymorph in this dataset	97.9	meV/atom
DFT total energy	-3.64	eV per atom

Unit cell a=8.638 b=2.812 c=5.120 alpha=90.00 beta=97.81 gamma=90.00
Space group Cm (No. 8)
Symmetry-distinct sites (fractional):
Li: 0.000 0.000 0.000 x2
Ag: 0.012 0.500 0.538 x2
Ag: 0.259 0.500 0.248 x2
P: 0.256 0.000 0.794 x2

---

Entry from the Alexandria database: a relaxed Li3AgP crystal (GGA-PBEsol).

Output
total magnetization	0.00	μB/f.u.
formation energy from the elements	-11.6	kJ per mole of atoms
DFT total energy	-3.12	eV per atom

Unit cell a=4.575 b=4.575 c=4.575 alpha=90.00 beta=90.00 gamma=90.00
Space group Pm-3m (No. 221)
Symmetry-distinct sites (fractional):
Li: 0.000 0.000 0.500 x3
Ag: 0.500 0.500 0.500 x1
P: 0.000 0.000 0.000 x1

---

Entry from the Alexandria database: a relaxed LiAg2P crystal (GGA-PBEsol).

Output
total magnetization	0.00	μB/f.u.
formation energy from the elements	-14.1	kJ per mole of atoms
energy above the most stable polymorph in this dataset	0.0	meV/atom
DFT total energy	-3.74	eV per atom

Unit cell a=4.122 b=4.122 c=7.085 alpha=90.00 beta=90.00 gamma=90.00
Space group I4/mmm (No. 139)
Symmetry-distinct sites (fractional):
Li: 0.000 0.000 0.000 x2
Ag: 0.000 0.500 0.250 x4
P: 0.000 0.000 0.500 x2

---

Entry from the Alexandria database: a relaxed Li17Ag3P6 crystal (GGA-PBEsol).

Output
total magnetization	0.00	μB/f.u.
formation energy from the elements	-51.0	kJ per mole of atoms
DFT total energy	-3.53	eV per atom

Unit cell a=7.3188 b=7.3188 c=7.6642 alpha=90.00 beta=90.00 gamma=120.00
Space group P31m (No. 157)
Symmetry-distinct sites (fractional):
Li: 0.0000 0.0000 0.1827 x1
Li: 0.0000 0.3089 0.0000 x3
Li: 0.0000 0.3365 0.3347 x3
Li: 0.0000 0.6476 0.8798 x3
Li: 0.0000 0.7099 0.5407 x3
Li: 0.3333 0.6667 0.4635 x2
Li: 0.3333 0.6667 0.7666 x2
Ag: 0.0000 0.0000 0.7580 x1
Ag: 0.3333 0.6667 0.1221 x2
P: 0.0000 0.3502 0.6707 x3
P: 0.0000 0.6686 0.2107 x3

---

Entry from the Alexandria database: a relaxed LiAgSbP2 crystal (GGA-PBEsol).

Output
total magnetization	0.00	μB/f.u.
DFT total energy	-3.70	eV per atom

Unit cell a=4.429 b=4.429 c=4.594 alpha=90.00 beta=90.00 gamma=90.00
Space group P4/mmm (No. 123)
Symmetry-distinct sites (fractional):
Li: 0.000 0.000 0.000 x1
Ag: 0.000 0.000 0.500 x1
Sb: 0.500 0.500 0.500 x1
P: 0.000 0.500 0.000 x2

---

Entry from the Alexandria database: a relaxed LiZrAgP2 crystal (GGA-PBEsol).

Output
total magnetization	0.75	μB/f.u.
formation energy from the elements	59.3	kJ per mole of atoms
DFT total energy	-4.58	eV per atom

Unit cell a=4.912 b=4.912 c=5.236 alpha=90.00 beta=90.00 gamma=90.00
Space group P4/mmm (No. 123)
Symmetry-distinct sites (fractional):
Li: 0.000 0.000 0.000 x1
Zr: 0.000 0.000 0.500 x1
Ag: 0.500 0.500 0.000 x1
P: 0.000 0.500 0.500 x2

---

Entry from the Alexandria database: a relaxed LiZr2AgP crystal (GGA-PBEsol).

Output
total magnetization	0.00	μB/f.u.
formation energy from the elements	1.1	kJ per mole of atoms
DFT total energy	-5.84	eV per atom

Unit cell a=4.893 b=4.893 c=4.606 alpha=90.00 beta=90.00 gamma=90.00
Space group P4/mmm (No. 123)
Symmetry-distinct sites (fractional):
Li: 0.000 0.000 0.000 x1
Zr: 0.000 0.500 0.500 x2
Ag: 0.500 0.500 0.000 x1
P: 0.500 0.500 0.500 x1

---

Entry from the Alexandria database: a relaxed LiAgPb2 crystal (GGA-PBEsol).

Output
total magnetization	0.00	μB/f.u.
formation energy from the elements	-8.0	kJ per mole of atoms
DFT total energy	-3.40	eV per atom

Unit cell a=4.582 b=3.599 c=10.853 alpha=90.00 beta=90.00 gamma=90.00
Space group Amm2 (No. 38)
Symmetry-distinct sites (fractional):
Li: 0.000 0.000 0.000 x2
Ag: 0.500 0.000 0.144 x2
Pb: 0.000 0.000 0.728 x2
Pb: 0.500 0.000 0.423 x2

---

Entry from the Alexandria database: a relaxed LiAgPb2 crystal (GGA-PBEsol).

Output
total magnetization	0.00	μB/f.u.
formation energy from the elements	-6.8	kJ per mole of atoms
DFT total energy	-3.39	eV per atom

Unit cell a=3.514 b=3.514 c=7.277 alpha=90.00 beta=90.00 gamma=90.00
Space group P4mm (No. 99)
Symmetry-distinct sites (fractional):
Li: 0.000 0.000 0.000 x1
Ag: 0.500 0.500 0.829 x1
Pb: 0.000 0.000 0.577 x1
Pb: 0.500 0.500 0.247 x1

---

Entry from the Alexandria database: a relaxed LiAgPb2 crystal (GGA-PBEsol).

Output
total magnetization	0.00	μB/f.u.
formation energy from the elements	-7.2	kJ per mole of atoms
DFT total energy	-3.39	eV per atom

Unit cell a=3.757 b=4.697 c=10.244 alpha=90.00 beta=90.00 gamma=90.00
Space group Imm2 (No. 44)
Symmetry-distinct sites (fractional):
Li: 0.000 0.000 0.000 x2
Ag: 0.000 0.500 0.288 x2
Pb: 0.000 0.000 0.529 x2
Pb: 0.000 0.500 0.761 x2

---

Entry from the Alexandria database: a relaxed LiAgPb2 crystal (GGA-PBEsol).

Output
total magnetization	0.00	μB/f.u.
formation energy from the elements	-7.3	kJ per mole of atoms
DFT total energy	-3.39	eV per atom

Unit cell a=4.336 b=4.336 c=9.601 alpha=90.00 beta=90.00 gamma=90.00
Space group I-4m2 (No. 119)
Symmetry-distinct sites (fractional):
Li: 0.000 0.000 0.000 x2
Ag: 0.000 0.500 0.750 x2
Pb: 0.000 0.000 0.500 x2
Pb: 0.000 0.500 0.250 x2

---

Entry from the Alexandria database: a relaxed LiAg2Pb2 crystal (GGA-PBEsol).

Output
total magnetization	0.00	μB/f.u.
formation energy from the elements	-1.1	kJ per mole of atoms
DFT total energy	-3.33	eV per atom

Unit cell a=7.288 b=7.288 c=4.200 alpha=90.00 beta=90.00 gamma=90.00
Space group P4/mbm (No. 127)
Symmetry-distinct sites (fractional):
Li: 0.000 0.000 0.000 x2
Ag: 0.134 0.366 0.000 x4
Pb: 0.172 0.672 0.500 x4

---

Entry from the Alexandria database: a relaxed LiAgPb2 crystal (GGA-PBEsol).

Output
total magnetization	0.00	μB/f.u.
formation energy from the elements	-8.7	kJ per mole of atoms
DFT total energy	-3.41	eV per atom

Unit cell a=4.967 b=4.967 c=3.632 alpha=90.00 beta=90.00 gamma=90.00
Space group P4/mmm (No. 123)
Symmetry-distinct sites (fractional):
Li: 0.000 0.000 0.000 x1
Ag: 0.500 0.500 0.000 x1
Pb: 0.000 0.500 0.500 x2

---

Entry from the Alexandria database: a relaxed LiAgPb2 crystal (GGA-PBEsol).

Output
total magnetization	0.00	μB/f.u.
formation energy from the elements	-8.0	kJ per mole of atoms
DFT total energy	-3.40	eV per atom

Unit cell a=11.044 b=3.353 c=5.114 alpha=90.00 beta=108.80 gamma=90.00
Space group Cm (No. 8)
Symmetry-distinct sites (fractional):
Li: 0.000 0.000 0.000 x2
Ag: 0.293 0.000 0.694 x2
Pb: 0.033 0.500 0.521 x2
Pb: 0.255 0.500 0.164 x2

---

Entry from the Alexandria database: a relaxed LiAgPb2 crystal (GGA-PBEsol).

Output
total magnetization	0.00	μB/f.u.
formation energy from the elements	-3.7	kJ per mole of atoms
DFT total energy	-3.36	eV per atom

Unit cell a=3.3993 b=3.3993 c=27.4563 alpha=90.00 beta=90.00 gamma=120.00
Space group R-3m (No. 166, hexagonal axes)
Symmetry-distinct sites (fractional):
Li: 0.0000 0.0000 0.0000 x3
Ag: 0.0000 0.0000 0.5000 x3
Pb: 0.0000 0.0000 0.2491 x6

---

Entry from the Alexandria database: a relaxed LiAgPb2 crystal (GGA-PBEsol).

Output
total magnetization	0.00	μB/f.u.
formation energy from the elements	-8.6	kJ per mole of atoms
DFT total energy	-3.41	eV per atom

Unit cell a=3.556 b=3.556 c=7.097 alpha=90.00 beta=90.00 gamma=90.00
Space group P4/mmm (No. 123)
Symmetry-distinct sites (fractional):
Li: 0.000 0.000 0.000 x1
Ag: 0.000 0.000 0.500 x1
Pb: 0.500 0.500 0.254 x2

---

Entry from the Alexandria database: a relaxed LiAgPb2 crystal (GGA-PBEsol).

Output
total magnetization	0.00	μB/f.u.
formation energy from the elements	-5.5	kJ per mole of atoms
DFT total energy	-3.38	eV per atom

Unit cell a=9.378 b=3.378 c=5.876 alpha=90.00 beta=101.83 gamma=90.00
Space group C2/m (No. 12)
Symmetry-distinct sites (fractional):
Li: 0.000 0.000 0.000 x2
Ag: 0.000 0.500 0.500 x2
Pb: 0.246 0.000 0.749 x4

---

Entry from the Alexandria database: a relaxed Li2AgRhPb crystal (GGA-PBEsol).

Output
total magnetization	0.00	μB/f.u.
formation energy from the elements	57.6	kJ per mole of atoms
DFT total energy	-3.28	eV per atom

Unit cell a=4.401 b=4.401 c=5.174 alpha=90.00 beta=90.00 gamma=90.00
Space group P4/mmm (No. 123)
Symmetry-distinct sites (fractional):
Li: 0.000 0.500 0.000 x2
Ag: 0.000 0.000 0.000 x1
Rh: 0.500 0.500 0.500 x1
Pb: 0.000 0.000 0.500 x1

---

Entry from the Alexandria database: a relaxed Li2AgPd crystal (GGA-PBEsol).

Output
total magnetization	0.00	μB/f.u.
formation energy from the elements	-28.3	kJ per mole of atoms
DFT total energy	-3.59	eV per atom

Unit cell a=6.016 b=6.016 c=6.016 alpha=90.00 beta=90.00 gamma=90.00
Space group Fm-3m (No. 225)
Symmetry-distinct sites (fractional):
Li: 0.250 0.250 0.250 x8
Ag: 0.000 0.000 0.000 x4
Pd: 0.000 0.000 0.500 x4

---

Entry from the Alexandria database: a relaxed Li3AgPd crystal (GGA-PBEsol).

Output
total magnetization	0.00	μB/f.u.
formation energy from the elements	15.5	kJ per mole of atoms
DFT total energy	-2.87	eV per atom

Unit cell a=4.600 b=4.600 c=4.600 alpha=90.00 beta=90.00 gamma=90.00
Space group Pm-3m (No. 221)
Symmetry-distinct sites (fractional):
Li: 0.000 0.000 0.500 x3
Ag: 0.500 0.500 0.500 x1
Pd: 0.000 0.000 0.000 x1

---

Quick rundown of V, same order as above: 58.0; 126.6; 53.7; 94.9; 98.2; 432.9; 59.6; 110.9; 123.2; 95.7; 120.4; 355.5; 90.1; 126.3; 110.2; 179.0; 89.9; 180.8; 180.5; 223.1; 89.6; 179.3; 274.8; 89.7; 182.2; 100.2; 217.7; 97.3 Å³ per cell